The following is a DFT calculation (PBE) of an optimized crystal structure of LiNd6Mg2.

a = 6.3173 Å, b = 9.6848 Å, c = 10.5390 Å
α = 90.00°, β = 117.28°, γ = 90.00°
Closest atoms and distances in Å follow each position.
Atoms (fractional coordinates):
Li1 0.0000 0.0000 0.0000  2 Mg 3.07, 6 Nd 3.14-3.38
Li2 0.0000 0.5000 0.5000  2 Mg 3.07, 6 Nd 3.14-3.38
Nd1 0.0670 0.1619 0.4644  3 Mg 3.20-3.49, 1 Li 3.34, 3 Nd 3.42-3.56
Nd2 0.0670 0.3381 0.9644  3 Mg 3.20-3.49, 1 Li 3.34, 3 Nd 3.42-3.56
Nd3 0.3474 0.7050 0.4140  3 Mg 3.26-3.49, 1 Li 3.38, 5 Nd 3.53-3.65
Nd4 0.3474 0.7950 0.9140  3 Mg 3.26-3.49, 1 Li 3.38, 5 Nd 3.53-3.65
Nd5 0.4200 0.0524 0.3055  1 Li 3.14, 1 Mg 3.50, 1 Nd 3.51
Nd6 0.4200 0.4476 0.8055  1 Li 3.14, 1 Mg 3.50, 1 Nd 3.51
Nd7 0.5800 0.5524 0.1945  1 Li 3.14, 1 Mg 3.50, 1 Nd 3.51
Nd8 0.5800 0.9476 0.6945  1 Li 3.14, 1 Mg 3.50, 1 Nd 3.51
Nd9 0.6526 0.2050 0.0860  3 Mg 3.26-3.49, 1 Li 3.38, 5 Nd 3.53-3.65
Nd10 0.6526 0.2950 0.5860  3 Mg 3.26-3.49, 1 Li 3.38, 5 Nd 3.53-3.65
Nd11 0.9330 0.6619 0.0356  3 Mg 3.20-3.49, 1 Li 3.34, 3 Nd 3.42-3.56
Nd12 0.9330 0.8381 0.5356  3 Mg 3.20-3.49, 1 Li 3.34, 3 Nd 3.42-3.56
Mg1 0.1688 0.1036 0.7858  1 Li 3.07, 4 Nd 3.20-3.38
Mg2 0.1688 0.3964 0.2858  1 Li 3.07, 4 Nd 3.20-3.38
Mg3 0.8312 0.6036 0.7142  1 Li 3.07, 4 Nd 3.20-3.38
Mg4 0.8312 0.8964 0.2142  1 Li 3.07, 4 Nd 3.20-3.38

Values from the calculation:
* calculated formation energy: 10.4 kJ/mol of atoms
* total moment: 0.00 μB per cell
* raw total energy: -0.2674 Ry/atom
* space-group type: P2_1/c (14)